Record 1
# Tb2DyTh6 GGA-PBE optimized geometry
data_Tb2DyTh6
_cell_length_a 3.541
_cell_length_b 3.541
_cell_length_c 26.932
_cell_angle_alpha 90.00
_cell_angle_beta 90.00
_cell_angle_gamma 120.00
_symmetry_space_group_name_H-M 'P 1'
_symmetry_Int_Tables_number 1
_symmetry_space_group_name_Hall 'P 1'
loop_
_atom_site_label
_atom_site_type_symbol
_atom_site_fract_x
_atom_site_fract_y
_atom_site_fract_z
Tb1 Tb 0.333 0.667 0.671
Tb2 Tb 0.333 0.667 0.329
Th1 Th 0.667 0.333 0.219
Th2 Th 0.667 0.333 0.562
Th3 Th 0.333 0.667 0.110
Th4 Th 0.667 0.333 0.781
Th5 Th 0.667 0.333 0.438
Th6 Th 0.333 0.667 0.890
Dy1 Dy 0.667 0.333 0.000
# V: 32.50 A^3/atom
# Total DFT energy (no corrections): -57.61 eV for the cell shown
# Symmetry: P-6m2
# Crystal system: hexagonal
# D(E_F): 1.62 states/eV/atom
# Formation energy: 0.09 eV per atom

Record 2
# CaMo6S8 GGA-PBE optimized geometry
data_CaMo6S8
_cell_length_a 6.675
_cell_length_b 6.579
_cell_length_c 7.715
_cell_angle_alpha 95.73
_cell_angle_beta 108.28
_cell_angle_gamma 108.98
_symmetry_space_group_name_H-M 'P 1'
_symmetry_Int_Tables_number 1
_symmetry_space_group_name_Hall 'P 1'
loop_
_atom_site_label
_atom_site_type_symbol
_atom_site_fract_x
_atom_site_fract_y
_atom_site_fract_z
Mo1 Mo 0.707 0.244 0.429
Mo2 Mo 0.293 0.756 0.571
Mo3 Mo 0.657 0.623 0.618
Mo4 Mo 0.554 0.312 0.091
Mo5 Mo 0.446 0.688 0.909
Mo6 Mo 0.343 0.377 0.382
S1 S 0.853 0.623 0.398
S2 S 0.300 0.998 0.348
S3 S 0.147 0.377 0.602
S4 S 0.306 0.990 0.840
S5 S 0.738 0.536 0.919
S6 S 0.262 0.464 0.081
S7 S 0.700 0.002 0.652
S8 S 0.694 0.010 0.160
Ca1 Ca 0.000 0.000 0.000
# V: 19.76 A^3/atom
# Energy relative to the lowest polymorph listed for this composition: 6.32 eV per formula unit
# Total DFT energy (no corrections): -106.94 eV for the cell shown
# Symmetry: P-1
# Crystal system: triclinic
# D(E_F): 0.54 states/eV/atom

Record 3
# YPaIrS GGA-PBE optimized geometry
data_YPaIrS
_cell_length_a 3.893
_cell_length_b 3.893
_cell_length_c 7.485
_cell_angle_alpha 90.00
_cell_angle_beta 105.09
_cell_angle_gamma 120.00
_symmetry_space_group_name_H-M 'P 1'
_symmetry_Int_Tables_number 1
_symmetry_space_group_name_Hall 'P 1'
loop_
_atom_site_label
_atom_site_type_symbol
_atom_site_fract_x
_atom_site_fract_y
_atom_site_fract_z
Ir1 Ir 0.125 0.961 0.101
S1 S 0.473 0.134 0.622
Pa1 Pa 0.318 0.557 0.890
Y1 Y 0.963 0.379 0.357
# V: 23.42 A^3/atom
# Total DFT energy (no corrections): -33.62 eV for the cell shown
# Symmetry: R3m
# Crystal system: trigonal
# D(E_F): 1.06 states/eV/atom

Record 4
# Sr2Li12AlAg3 GGA-PBE optimized geometry
data_Sr2Li12AlAg3
_cell_length_a 7.341
_cell_length_b 7.341
_cell_length_c 7.341
_cell_angle_alpha 85.38
_cell_angle_beta 85.38
_cell_angle_gamma 85.38
_symmetry_space_group_name_H-M 'P 1'
_symmetry_Int_Tables_number 1
_symmetry_space_group_name_Hall 'P 1'
loop_
_atom_site_label
_atom_site_type_symbol
_atom_site_fract_x
_atom_site_fract_y
_atom_site_fract_z
Li1 Li 0.420 0.420 0.846
Li2 Li 0.846 0.420 0.420
Li3 Li 0.154 0.580 0.580
Li4 Li 0.580 0.154 0.580
Li5 Li 0.813 0.813 0.268
Li6 Li 0.732 0.187 0.187
Li7 Li 0.813 0.268 0.813
Li8 Li 0.187 0.732 0.187
Li9 Li 0.420 0.846 0.420
Li10 Li 0.580 0.580 0.154
Li11 Li 0.268 0.813 0.813
Li12 Li 0.187 0.187 0.732
Ag1 Ag 0.000 0.500 0.000
Ag2 Ag 0.500 0.000 0.000
Ag3 Ag 0.000 0.000 0.500
Sr1 Sr 0.248 0.248 0.248
Sr2 Sr 0.752 0.752 0.752
Al1 Al 0.000 0.000 0.000
# V: 21.78 A^3/atom
# Total DFT energy (no corrections): -38.83 eV for the cell shown
# Symmetry: R-3m
# Crystal system: trigonal
# D(E_F): 0.33 states/eV/atom
# Formation energy: -0.01 eV per atom

Record 5
# EuHO GGA-PBE optimized geometry
data_EuHO
_cell_length_a 3.234
_cell_length_b 3.577
_cell_length_c 3.577
_cell_angle_alpha 120.00
_cell_angle_beta 90.00
_cell_angle_gamma 90.00
_symmetry_space_group_name_H-M 'P 1'
_symmetry_Int_Tables_number 1
_symmetry_space_group_name_Hall 'P 1'
loop_
_atom_site_label
_atom_site_type_symbol
_atom_site_fract_x
_atom_site_fract_y
_atom_site_fract_z
H1 H 0.500 0.333 0.667
Eu1 Eu 0.500 0.667 0.333
O1 O 0.000 0.000 0.000
# V: 11.94 A^3/atom
# Energy relative to the lowest polymorph listed for this composition: 1.11 eV per formula unit
# Total DFT energy (no corrections): -22.60 eV for the cell shown
# Symmetry: P-6m2
# Crystal system: hexagonal
# D(E_F): 0.98 states/eV/atom

Record 6
# Tb2Pr6DyHo3 GGA-PBE optimized geometry
data_Tb2Pr6DyHo3
_cell_length_a 6.305
_cell_length_b 6.305
_cell_length_c 11.886
_cell_angle_alpha 95.06
_cell_angle_beta 95.06
_cell_angle_gamma 120.00
_symmetry_space_group_name_H-M 'P 1'
_symmetry_Int_Tables_number 1
_symmetry_space_group_name_Hall 'P 1'
loop_
_atom_site_label
_atom_site_type_symbol
_atom_site_fract_x
_atom_site_fract_y
_atom_site_fract_z
Ho1 Ho 0.167 0.833 0.500
Ho2 Ho 0.500 0.500 0.500
Ho3 Ho 0.833 0.167 0.500
Pr1 Pr 0.916 0.583 0.749
Pr2 Pr 0.084 0.417 0.251
Pr3 Pr 0.417 0.084 0.251
Pr4 Pr 0.583 0.916 0.749
Pr5 Pr 0.750 0.750 0.251
Pr6 Pr 0.250 0.250 0.749
Dy1 Dy 0.000 0.000 0.000
Tb1 Tb 0.667 0.333 0.000
Tb2 Tb 0.333 0.667 0.000
# V: 33.57 A^3/atom
# Total DFT energy (no corrections): -56.14 eV for the cell shown
# Symmetry: C2/m
# Crystal system: monoclinic
# D(E_F): 1.10 states/eV/atom
# Formation energy: 0.01 eV per atom

Record 7
# LiMg2Au GGA-PBE optimized geometry
data_LiMg2Au
_cell_length_a 3.367
_cell_length_b 3.466
_cell_length_c 7.305
_cell_angle_alpha 61.67
_cell_angle_beta 90.00
_cell_angle_gamma 90.00
_symmetry_space_group_name_H-M 'P 1'
_symmetry_Int_Tables_number 1
_symmetry_space_group_name_Hall 'P 1'
loop_
_atom_site_label
_atom_site_type_symbol
_atom_site_fract_x
_atom_site_fract_y
_atom_site_fract_z
Mg1 Mg 0.000 0.986 0.014
Mg2 Mg 0.000 0.514 0.486
Li1 Li 0.500 0.750 0.750
Au1 Au 0.500 0.250 0.250
# V: 18.76 A^3/atom
# Total DFT energy (no corrections): -9.89 eV for the cell shown
# Symmetry: Pmmm
# Crystal system: orthorhombic
# D(E_F): 0.34 states/eV/atom
# Formation energy: -0.38 eV per atom

Record 8
# YMgAs GGA-PBE optimized geometry
data_YMgAs
_cell_length_a 4.885
_cell_length_b 4.885
_cell_length_c 4.885
_cell_angle_alpha 60.00
_cell_angle_beta 60.00
_cell_angle_gamma 60.00
_symmetry_space_group_name_H-M 'P 1'
_symmetry_Int_Tables_number 1
_symmetry_space_group_name_Hall 'P 1'
loop_
_atom_site_label
_atom_site_type_symbol
_atom_site_fract_x
_atom_site_fract_y
_atom_site_fract_z
Y1 Y 0.750 0.750 0.750
Mg1 Mg 0.500 0.500 0.500
As1 As 0.000 0.000 0.000
# V: 27.47 A^3/atom
# Energy relative to the lowest polymorph listed for this composition: 1.89 eV per formula unit
# Total DFT energy (no corrections): -13.44 eV for the cell shown
# Symmetry: F-43m
# Crystal system: cubic
# D(E_F): 0.54 states/eV/atom
# Formation energy: -0.24 eV per atom

Record 9
# KTaTl GGA-PBE optimized geometry
data_KTaTl
_cell_length_a 3.155
_cell_length_b 3.155
_cell_length_c 8.873
_cell_angle_alpha 90.00
_cell_angle_beta 90.00
_cell_angle_gamma 120.00
_symmetry_space_group_name_H-M 'P 1'
_symmetry_Int_Tables_number 1
_symmetry_space_group_name_Hall 'P 1'
loop_
_atom_site_label
_atom_site_type_symbol
_atom_site_fract_x
_atom_site_fract_y
_atom_site_fract_z
Ta1 Ta 0.667 0.333 0.357
K1 K 0.000 0.000 0.995
Tl1 Tl 0.333 0.667 0.648
# V: 25.50 A^3/atom
# Energy relative to the lowest polymorph listed for this composition: 0.00 eV per formula unit
# Total DFT energy (no corrections): -12.87 eV for the cell shown
# Symmetry: P3m1
# Crystal system: trigonal
# D(E_F): 1.27 states/eV/atom
# Formation energy: 0.81 eV per atom

Record 10
# ZrTeCl2 GGA-PBE optimized geometry
data_ZrTeCl2
_cell_length_a 5.025
_cell_length_b 5.025
_cell_length_c 5.025
_cell_angle_alpha 120.26
_cell_angle_beta 120.26
_cell_angle_gamma 89.54
_symmetry_space_group_name_H-M 'P 1'
_symmetry_Int_Tables_number 1
_symmetry_space_group_name_Hall 'P 1'
loop_
_atom_site_label
_atom_site_type_symbol
_atom_site_fract_x
_atom_site_fract_y
_atom_site_fract_z
Zr1 Zr 0.750 0.250 0.500
Te1 Te 0.500 0.500 0.000
Cl1 Cl 0.000 0.000 0.000
Cl2 Cl 0.250 0.750 0.500
# V: 22.33 A^3/atom
# Energy relative to the lowest polymorph listed for this composition: 2.85 eV per formula unit
# Total DFT energy (no corrections): -17.92 eV for the cell shown
# Symmetry: I-4m2
# Crystal system: tetragonal
# D(E_F): 0.02 states/eV/atom

Record 11
# Tl2NiCl2 GGA-PBE optimized geometry
data_Tl2NiCl2
_cell_length_a 7.438
_cell_length_b 7.438
_cell_length_c 4.798
_cell_angle_alpha 90.00
_cell_angle_beta 90.00
_cell_angle_gamma 90.00
_symmetry_space_group_name_H-M 'P 1'
_symmetry_Int_Tables_number 1
_symmetry_space_group_name_Hall 'P 1'
loop_
_atom_site_label
_atom_site_type_symbol
_atom_site_fract_x
_atom_site_fract_y
_atom_site_fract_z
Cl1 Cl 0.341 0.159 0.500
Cl2 Cl 0.159 0.659 0.500
Cl3 Cl 0.841 0.341 0.500
Cl4 Cl 0.659 0.841 0.500
Tl1 Tl 0.683 0.183 0.000
Tl2 Tl 0.817 0.683 0.000
Tl3 Tl 0.183 0.317 0.000
Tl4 Tl 0.317 0.817 0.000
Ni1 Ni 0.500 0.500 0.000
Ni2 Ni 0.000 0.000 0.000
# V: 26.54 A^3/atom
# Total DFT energy (no corrections): -29.81 eV for the cell shown
# Symmetry: P4/mbm
# Crystal system: tetragonal
# D(E_F): 0.80 states/eV/atom

Record 12
# As2IrCCl GGA-PBE optimized geometry
data_As2IrCCl
_cell_length_a 4.797
_cell_length_b 3.844
_cell_length_c 4.797
_cell_angle_alpha 90.00
_cell_angle_beta 90.00
_cell_angle_gamma 90.00
_symmetry_space_group_name_H-M 'P 1'
_symmetry_Int_Tables_number 1
_symmetry_space_group_name_Hall 'P 1'
loop_
_atom_site_label
_atom_site_type_symbol
_atom_site_fract_x
_atom_site_fract_y
_atom_site_fract_z
C1 C 0.000 0.000 0.000
Cl1 Cl 0.500 0.500 0.500
Ir1 Ir 0.000 0.500 0.000
As1 As 0.500 0.000 0.000
As2 As 0.000 0.000 0.500
# V: 17.69 A^3/atom
# Total DFT energy (no corrections): -24.26 eV for the cell shown
# Symmetry: P4/mmm
# Crystal system: tetragonal
# D(E_F): 0.45 states/eV/atom